1.
First-principles (GGA-PBE) data for a geometry-optimized Ba2PuRh2 structure, as listed in Alexandria via LeMat-Bulk.

```
Ba2PuRh2
1.0
5.489 -3.327 0.000
5.489 3.327 0.000
-1.517 0.000 8.057
Ba Pu Rh
4 2 4
direct
0.036 0.266 0.149
0.266 0.036 0.649
0.734 0.964 0.351
0.964 0.734 0.851
0.414 0.586 0.250
0.586 0.414 0.750
0.244 0.502 0.491
0.498 0.756 0.009
0.502 0.244 0.991
0.756 0.498 0.509
```

- ρ: 8.2 g cm⁻³
- Space group: No. 15
- ΔE_f: -0.24 eV/atom
- VASP energy: -6.81 eV per atom
- Crystal system: monoclinic



2.
First-principles (GGA-PBE) data for a geometry-optimized CdH2S2 structure, as listed in Alexandria via LeMat-Bulk.

```
CdH2S2
1.0
4.166 0.000 0.000
-1.559 6.835 0.000
-0.334 -0.133 7.716
Cd H S
2 4 4
direct
0.052 0.137 0.196
0.948 0.863 0.804
0.201 0.731 0.159
0.326 0.570 0.699
0.674 0.430 0.301
0.799 0.269 0.841
0.106 0.240 0.871
0.393 0.754 0.636
0.607 0.246 0.364
0.894 0.760 0.129
```

- ρ: 2.7 g cm⁻³
- Space group: No. 2
- VASP energy: -3.52 eV per atom
- Crystal system: triclinic



Which value of ρ does entry 1 give? 8.2 g cm⁻³